DFT (PBE) results for an optimized crystal structure of AlCd2Os.

Results
Density of states at the Fermi level: 2.7 states/eV/f.u.
V: 149 Å³/cell
Formation energy: 0.490 eV per atom

a = 2.8708 Å, b = 4.8285 Å, c = 10.7325 Å
α = 90.00°, β = 90.00°, γ = 90.00°
Positions (direct):
Al: 0.0000 0.0000 0.0000
Al: 0.5000 0.5000 0.0000
Cd: 0.0000 0.5000 0.2673
Cd: 0.0000 0.5000 0.7327
Cd: 0.5000 0.0000 0.2673
Cd: 0.5000 0.0000 0.7327
Os: 0.0000 0.0000 0.5000
Os: 0.5000 0.5000 0.5000

DFT (PBE) results for an optimized crystal structure of AlCd2Os.

Results
Density of states at the Fermi level: 0.9 states/eV/f.u.
V: 72 Å³/cell
Formation energy: 0.094 eV per atom

a = 3.2134 Å, b = 3.2134 Å, c = 6.9839 Å
α = 90.00°, β = 90.00°, γ = 90.00°
Positions (direct):
Al: 0.0000 0.0000 0.0000
Cd: 0.0000 0.0000 0.5820
Cd: 0.5000 0.5000 0.2848
Os: 0.5000 0.5000 0.8527

DFT (PBE) results for an optimized crystal structure of AlCd2Os.

Results
Density of states at the Fermi level: 2.8 states/eV/f.u.
V: 137 Å³/cell
Formation energy: 0.285 eV per atom

a = 4.0520 Å, b = 4.0520 Å, c = 8.3735 Å
α = 90.00°, β = 90.00°, γ = 90.00°
Positions (direct):
Al: 0.0000 0.0000 0.0000
Al: 0.5000 0.5000 0.5000
Cd: 0.0000 0.0000 0.5000
Cd: 0.0000 0.5000 0.7500
Cd: 0.5000 0.0000 0.2500
Cd: 0.5000 0.5000 0.0000
Os: 0.0000 0.5000 0.2500
Os: 0.5000 0.0000 0.7500

DFT (PBE) results for an optimized crystal structure of AlCd2Os.

Results
Density of states at the Fermi level: 0.9 states/eV/f.u.
V: 137 Å³/cell
Formation energy: 0.228 eV per atom

a = 3.3777 Å, b = 4.2812 Å, c = 9.4850 Å
α = 90.00°, β = 90.00°, γ = 90.00°
Positions (direct):
Al: 0.0000 0.0000 0.0000
Al: 0.5000 0.5000 0.5000
Cd: 0.0000 0.5000 0.2477
Cd: 0.0000 0.5000 0.7523
Cd: 0.5000 0.0000 0.2523
Cd: 0.5000 0.0000 0.7477
Os: 0.0000 0.0000 0.5000
Os: 0.5000 0.5000 0.0000

DFT (PBE) results for an optimized crystal structure of AlCd2Os.

Results
Density of states at the Fermi level: 2.7 states/eV/f.u.
V: 163 Å³/cell
Formation energy: 0.059 eV per atom

a = 14.3662 Å, b = 2.8218 Å, c = 4.1883 Å
α = 90.00°, β = 106.84°, γ = 90.00°
Positions (direct):
Al: 0.0000 0.0000 0.0000
Al: 0.5000 0.5000 0.0000
Cd: 0.1809 0.0000 0.6802
Cd: 0.3191 0.5000 0.3198
Cd: 0.6809 0.5000 0.6802
Cd: 0.8191 0.0000 0.3198
Os: 0.0000 0.5000 0.5000
Os: 0.5000 0.0000 0.5000

DFT (PBE) results for an optimized crystal structure of Al2CdOs.

Results
Density of states at the Fermi level: 4.9 states/eV/f.u.
V: 293 Å³/cell
Formation energy: 0.455 eV per atom

a = 4.0716 Å, b = 4.0716 Å, c = 17.6495 Å
α = 90.00°, β = 90.00°, γ = 90.00°
Positions (direct):
Al: 0.2091 0.2500 0.1250
Al: 0.2500 0.7091 0.3750
Al: 0.2500 0.7909 0.8750
Al: 0.2909 0.2500 0.6250
Al: 0.7091 0.7500 0.6250
Al: 0.7500 0.2091 0.8750
Al: 0.7500 0.2909 0.3750
Al: 0.7909 0.7500 0.1250
Cd: 0.0000 0.0000 0.5000
Cd: 0.0000 0.5000 0.7500
Cd: 0.5000 0.0000 0.2500
Cd: 0.5000 0.5000 0.0000
Os: 0.0000 0.0000 0.0000
Os: 0.0000 0.5000 0.2500
Os: 0.5000 0.0000 0.7500
Os: 0.5000 0.5000 0.5000

DFT (PBE) results for an optimized crystal structure of Al2CdOs.

Results
Density of states at the Fermi level: 3.3 states/eV/f.u.
V: 202 Å³/cell
Formation energy: -0.009 eV per atom

a = 2.9683 Å, b = 2.9683 Å, c = 26.4899 Å
α = 90.00°, β = 90.00°, γ = 120.00°
Positions (direct):
Al: 0.0000 0.0000 0.2393
Al: 0.0000 0.0000 0.7607
Al: 0.3333 0.6667 0.4274
Al: 0.3333 0.6667 0.9060
Al: 0.6667 0.3333 0.0940
Al: 0.6667 0.3333 0.5726
Cd: 0.0000 0.0000 0.0000
Cd: 0.3333 0.6667 0.6667
Cd: 0.6667 0.3333 0.3333
Os: 0.0000 0.0000 0.5000
Os: 0.3333 0.6667 0.1667
Os: 0.6667 0.3333 0.8333

DFT (PBE) results for an optimized crystal structure of Al2CdOs.

Results
Density of states at the Fermi level: 0.7 states/eV/f.u.
V: 66 Å³/cell
Formation energy: -0.145 eV per atom

a = 3.0949 Å, b = 3.0949 Å, c = 6.8523 Å
α = 90.00°, β = 90.00°, γ = 90.00°
Positions (direct):
Al: 0.0000 0.0000 0.2016
Al: 0.0000 0.0000 0.7984
Cd: 0.5000 0.5000 0.5000
Os: 0.5000 0.5000 0.0000